1.
Here is a geometry-optimized BaAu2F structure from Alexandria via LeMat-Bulk. Energies are from PBE-GGA.

a = 3.878 Å, b = 3.878 Å, c = 12.808 Å
α = 81.29°, β = 81.29°, γ = 90.00°
Atoms (fractional coordinates):
F (0.250, 0.750, 0.500)
F (0.500, 0.500, 0.000)
Ba (0.000, 0.000, 0.000)
Ba (0.750, 0.250, 0.500)
Au (0.875, 0.874, 0.750)
Au (0.375, 0.376, 0.750)
Au (0.126, 0.625, 0.250)
Au (0.624, 0.125, 0.250)

Computed properties:
magnetic moment = 0.0 μB per cell
crystal system = tetragonal
space-group type = I-42d, No. 122
E_form (uncorrected) = -6.2 eV per formula unit
excess energy over the best structure of this formula in the dataset = 0.0 meV/atom
D(E_F) = 0.228 states/eV/atom
total DFT energy (no corrections) = -16.5 eV per formula unit

=====

2.
Here is a geometry-optimized TeRhW2 structure from Alexandria via LeMat-Bulk. Energies are from PBE-GGA.

a = 3.222 Å, b = 2.981 Å, c = 7.783 Å
α = 85.04°, β = 90.00°, γ = 90.00°
Atoms (fractional coordinates):
W (0.500, 0.475, 0.254)
W (0.000, 0.896, 0.039)
Rh (0.000, 0.911, 0.456)
Te (0.500, 0.718, 0.751)

Computed properties:
magnetic moment = 0.0 μB per cell
crystal system = monoclinic
space-group type = Pm, No. 6
E_form (uncorrected) = 1.3 eV per formula unit
D(E_F) = 0.671 states/eV/atom
total DFT energy (no corrections) = -35.1 eV per formula unit